LaZr2W: optimized geometry, PBE.

Symmetry = R3m
Relative energy among the computed polymorphs = 30.6 kJ/mol of atoms
Raw total energy = -8.252 eV per atom
Energy of formation = 0.492 eV/atom

abc: 9.997 9.997 9.997
angles: 19.17 19.17 19.17
Sites, in units of the cell vectors:
La1 0.491 0.491 0.491
W1 0.744 0.744 0.744
Zr1 0.009 0.009 0.009
Zr2 0.256 0.256 0.256